Computed, not measured: a geometry-optimized Cs3P2H4 structure at the PBE level of DFT.

Structure (extended XYZ):
```
9
Lattice="4.3452 0.0000 0.0000 0.0465 6.4050 0.0000 0.2075 2.1448 9.6863" Properties=species:S:1:pos:R:3 pbc="T T T"
Cs 0.0000 0.0000 0.0000
Cs 0.0876 2.8708 3.3110
Cs 4.5116 5.6790 6.3753
P 2.1768 6.1530 3.1821
P 2.4224 2.3968 6.5041
H 0.9760 2.4336 6.4729
H 2.1559 5.1362 2.1386
H 2.4433 3.4136 7.5477
H 3.6232 6.1162 3.2133
```

Its electronic total energy is -3.221 eV per atom. As for the total magnetic moment: 0.054 μB/atom.